A relaxed Ce2DyInN crystal, computed with PBE.

Properties
* D(E_F): 8.690 states/eV per cell
* space-group type: P4/mmm, No. 123
* VASP energy: -6.353 eV/atom
* calculated density: 8.1 g cm⁻³

a b c (Å): 4.8973 4.8965 4.8965
angles (deg): 90.00 90.00 90.00
Each line ends with the local moment (μB).
Positions (direct):
Ce 0.0000 0.0000 0.5000  0.64
Ce 0.0000 0.5000 0.0000  0.64
Dy 0.5000 0.0000 0.0000  0.07
In 0.5000 0.5000 0.5000  -0.02
N 0.0000 0.0000 0.0000  -0.04


A relaxed KLiAu10 crystal, computed with PBE.

Properties
* energy relative to the elements: -0.189 eV/atom
* D(E_F): 2.031 states/eV per cell
* space-group type: Pmmm, No. 47
* calculated density: 13.0 g cm⁻³

a b c (Å): 4.6803 5.6286 9.7419
angles (deg): 90.00 90.00 90.00
Positions (direct):
K 0.0000 0.0000 0.0000
Li 0.0000 0.5000 0.5000
Au 0.0000 0.0000 0.3428
Au 0.0000 0.5000 0.8110
Au 0.0000 0.5000 0.1890
Au 0.0000 0.0000 0.6572
Au 0.5000 0.0000 0.5000
Au 0.5000 0.5000 0.0000
Au 0.5000 0.2498 0.2522
Au 0.5000 0.7502 0.7478
Au 0.5000 0.7502 0.2522
Au 0.5000 0.2498 0.7478


The highest D(E_F) belongs to which entry? Ce2DyInN